No. 1
Here is a relaxed structure of GdPuSnRh from the Alexandria database. Energies are from GGA-PBE.

Properties
Formation enthalpy at 0 K   -0.3921 eV/atom

a b c (Å): 5.1396 5.1396 5.1396
angles (deg): 60.00 60.00 60.00
Element x y z (fractional)
Gd (0.5000, 0.5000, 0.5000)
Rh (0.7500, 0.7500, 0.7500)
Sn (0.2500, 0.2500, 0.2500)
Pu (0.0000, 0.0000, 0.0000)

***

No. 2
Here is a relaxed structure of RbNa6Tl6 from the Alexandria database. Energies are from GGA-PBE.

Properties
Formation enthalpy at 0 K   -0.0956 eV/atom

a b c (Å): 6.6412 8.6842 8.6842
angles (deg): 80.56 67.52 67.52
Element x y z (fractional)
Rb (0.0000, 0.0000, 0.0000)
Na (0.3493, 0.6507, 0.6507)
Na (0.6507, 0.3493, 0.3493)
Na (0.0000, 0.3369, 0.6631)
Na (0.0000, 0.6631, 0.3369)
Na (0.3035, 0.1965, 0.1965)
Na (0.6965, 0.8035, 0.8035)
Tl (0.0000, 0.5000, 0.0000)
Tl (0.5000, 0.5000, 0.0000)
Tl (0.0000, 0.0000, 0.5000)
Tl (0.5000, 0.0000, 0.5000)
Tl (0.5000, 0.7640, 0.2360)
Tl (0.5000, 0.2360, 0.7640)

***

No. 3
Here is a relaxed structure of LaPt2N from the Alexandria database. Energies are from GGA-PBE.

Properties
Uncorrected formation energy   -321 meV per atom

a b c (Å): 5.1883 5.1883 7.1720
angles (deg): 68.79 68.79 90.00
Element x y z (fractional)
N (0.5000, 0.5000, 0.0000)
N (0.2500, 0.7500, 0.5000)
Pt (0.4706, 0.1250, 0.2500)
Pt (0.2794, 0.6250, 0.2500)
Pt (0.3750, 0.5294, 0.7500)
Pt (0.8750, 0.7206, 0.7500)
La (0.0000, 0.0000, 0.0000)
La (0.7500, 0.2500, 0.5000)

***

No. 4
Here is a relaxed structure of Ca3CuSi3 from the Alexandria database. Energies are from GGA-PBE.

Properties
Uncorrected formation energy   -487 meV per atom

a b c (Å): 4.3859 5.6976 13.2611
angles (deg): 85.75 80.48 67.36
Element x y z (fractional)
Ca (0.5423, 0.2978, 0.6175)
Ca (0.4577, 0.7022, 0.3825)
Ca (0.2485, 0.2734, 0.2295)
Ca (0.7515, 0.7266, 0.7705)
Ca (0.3986, 0.2813, 0.9214)
Ca (0.6014, 0.7187, 0.0786)
Cu (0.7475, 0.1068, 0.3982)
Cu (0.2525, 0.8932, 0.6018)
Si (0.8739, 0.7121, 0.5402)
Si (0.1261, 0.2879, 0.4598)
Si (0.1034, 0.8693, 0.9239)
Si (0.8966, 0.1307, 0.0761)
Si (0.9498, 0.8687, 0.2317)
Si (0.0502, 0.1313, 0.7683)

***

No. 5
Here is a relaxed structure of NaWN2 from the Alexandria database. Energies are from GGA-PBE.

Properties
Uncorrected formation energy   -328 meV per atom
Offset from the most stable computed form   59.5 meV per atom

a b c (Å): 3.0122 3.0122 6.1616
angles (deg): 75.85 75.85 60.00
Element x y z (fractional)
Na (0.4969, 0.4969, 0.5092)
W (0.6677, 0.6677, 0.9968)
N (0.0674, 0.0674, 0.7977)
N (0.2679, 0.2679, 0.1963)

***

No. 6
Here is a relaxed structure of VNi6Ir2 from the Alexandria database. Energies are from GGA-PBE.

Properties
Formation enthalpy at 0 K   0.1299 eV/atom
Offset from the most stable computed form   266.4 meV per atom

a b c (Å): 3.9816 3.9816 8.8748
angles (deg): 77.04 77.04 60.00
Element x y z (fractional)
V (0.0000, 0.0000, 0.0000)
Ni (0.6158, 0.6158, 0.1525)
Ni (0.8093, 0.8093, 0.5720)
Ni (0.7140, 0.7140, 0.8579)
Ni (0.1907, 0.1907, 0.4280)
Ni (0.3842, 0.3842, 0.8475)
Ni (0.2860, 0.2860, 0.1421)
Ir (0.9040, 0.9040, 0.2880)
Ir (0.0960, 0.0960, 0.7120)

***

No. 7
Here is a relaxed structure of BaNa2ZnCd from the Alexandria database. Energies are from GGA-PBE.

Properties
Formation enthalpy at 0 K   0.0238 eV/atom

a b c (Å): 5.6548 5.6548 5.2429
angles (deg): 90.00 90.00 90.00
Element x y z (fractional)
Na (0.0000, 0.5000, 0.0000)
Na (0.5000, 0.0000, 0.0000)
Zn (0.0000, 0.0000, 0.0000)
Ba (0.5000, 0.5000, 0.5000)
Cd (0.0000, 0.0000, 0.5000)

***

No. 8
Here is a relaxed structure of FePd2S from the Alexandria database. Energies are from GGA-PBE.

Properties
Uncorrected formation energy   412 meV per atom

a b c (Å): 3.6339 3.6339 9.3163
angles (deg): 78.75 78.75 90.00
Element x y z (fractional)
S (0.5000, 0.5000, 0.0000)
S (0.2500, 0.7500, 0.5000)
Fe (0.0000, 0.0000, 0.0000)
Fe (0.7500, 0.2500, 0.5000)
Pd (0.6258, 0.1250, 0.2500)
Pd (0.1242, 0.6250, 0.2500)
Pd (0.3750, 0.3742, 0.7500)
Pd (0.8750, 0.8758, 0.7500)

***

Values of final energy, in order: -10.3338 -1.8709 -6.6542 -4.2544 -8.0589 -6.7066 -1.3262 -5.3320, all in eV/atom.